No. 1
DFT (PBE) results for an optimized crystal structure of TcOF3.

abc: 3.9400 3.9400 3.9400
angles: 90.00 90.00 90.00
With the nearest neighbours (Å) after each atom.
Space group Pm-3m (No. 221)
Inequivalent atoms, fractional coordinates:
Tc 0.0000 0.0000 0.0000  12 F 2.79
O 0.5000 0.5000 0.5000  6 F 1.97
F 0.0000 0.5000 0.5000  2 O 1.97

## Properties
- offset from the most stable computed form (eV per formula unit) = 9.93
- N(E_F) (states/eV per cell) = 1.59
- formation energy (no corrections) (eV/atom) = 0.2259

---

No. 2
DFT (PBE) results for an optimized crystal structure of GaBiSeN2.

abc: 4.4092 4.4092 5.7994
angles: 90.00 90.00 90.00
With the nearest neighbours (Å) after each atom.
Space group P4/mmm (No. 123)
Inequivalent atoms, fractional coordinates:
Ga 0.0000 0.0000 0.0000  4 Se 3.12
Bi 0.5000 0.5000 0.5000  4 N 2.20
Se 0.5000 0.5000 0.0000  2 Bi 2.90, 4 Ga 3.12
N 0.0000 0.5000 0.5000  2 Bi 2.20

## Properties
- offset from the most stable computed form (eV per formula unit) = 1.77
- N(E_F) (states/eV per cell) = 4.13
- formation energy (no corrections) (eV/atom) = 1.3887

---

No. 3
DFT (PBE) results for an optimized crystal structure of Sr2LaScS.

abc: 5.9621 5.9621 4.9839
angles: 90.00 90.00 90.00
With the nearest neighbours (Å) after each atom.
Space group P4/mmm (No. 123)
Inequivalent atoms, fractional coordinates:
Sr 0.0000 0.5000 0.0000  2 S 2.98
La 0.0000 0.0000 0.5000  8 Sr 3.89, 4 Sc 4.22
Sc 0.5000 0.5000 0.5000  2 S 2.49
S 0.5000 0.5000 0.0000  2 Sc 2.49

## Properties
- N(E_F) (states/eV per cell) = 9.48
- formation energy (no corrections) (eV/atom) = -0.4621

---

No. 4
DFT (PBE) results for an optimized crystal structure of U2TcGe2.

abc: 10.6496 4.0490 9.0098
angles: 90.00 101.16 90.00
With the nearest neighbours (Å) after each atom.
Space group C2/m (No. 12)
Inequivalent atoms, fractional coordinates:
U 0.0487 0.0000 0.3805  1 U 2.56, 2 Tc 2.86
U 0.1933 0.0000 0.0619  2 U 2.71, 2 Tc 2.84, 1 Ge 2.97
Tc 0.2059 0.5000 0.2847  3 Ge 2.54-2.59, 2 U 2.84
Ge 0.0229 0.5000 0.8643  1 Tc 2.54, 1 Ge 2.58
Ge 0.1585 0.5000 0.5965  2 Tc 2.59, 2 U 2.89

## Properties
- N(E_F) (states/eV per cell) = 29.77
- calculated formation energy (kJ per mole of atoms) = -26

---

No. 5
DFT (PBE) results for an optimized crystal structure of HfTaPt4.

abc: 9.2896 3.4182 6.9009
angles: 90.00 111.77 90.00
With the nearest neighbours (Å) after each atom.
Space group C2/m (No. 12)
Inequivalent atoms, fractional coordinates:
Hf 0.0000 0.0000 0.0000  10 Pt 2.82-2.92
Ta 0.0000 0.0000 0.5000  10 Pt 2.75-2.95
Pt 0.1586 0.5000 0.3369  3 Ta 2.75-2.95, 5 Pt 2.76-2.88, 2 Hf 2.82
Pt 0.1612 0.5000 0.8219  5 Pt 2.76-2.95, 2 Ta 2.76, 3 Hf 2.84-2.92

## Properties
- N(E_F) (states/eV per cell) = 3.33
- calculated formation energy (kJ per mole of atoms) = -90

---

No. 6
DFT (PBE) results for an optimized crystal structure of Y2GeBAs.

abc: 5.1028 5.1028 4.0455
angles: 90.00 90.00 90.00
With the nearest neighbours (Å) after each atom.
Space group P4/mmm (No. 123)
Inequivalent atoms, fractional coordinates:
Y 0.0000 0.5000 0.0000  2 B 2.55
Ge 0.0000 0.0000 0.5000  8 Y 3.26, 4 As 3.61
B 0.5000 0.5000 0.0000  2 As 2.02
As 0.5000 0.5000 0.5000  2 B 2.02

## Properties
- N(E_F) (states/eV per cell) = 2.38
- calculated formation energy (kJ per mole of atoms) = -26

---

No. 7
DFT (PBE) results for an optimized crystal structure of LiNdDyTe3.

abc: 8.9974 4.2830 9.5311
angles: 90.00 103.67 90.00
With the nearest neighbours (Å) after each atom.
Space group P2_1/m (No. 11)
Inequivalent atoms, fractional coordinates:
Li 0.0847 0.2500 0.0857  4 Te 2.74-2.78, 2 Li 2.90
Nd 0.1897 0.2500 0.7331  7 Te 3.20-3.31
Dy 0.3313 0.7500 0.3404  6 Te 3.05-3.14
Te 0.0920 0.2500 0.3753  1 Li 2.75
Te 0.2327 0.7500 0.0017  3 Li 2.74-2.78
Te 0.4323 0.7500 0.6756  3 Dy 3.05-3.11, 2 Nd 3.20

## Properties
- N(E_F) (states/eV per cell) = 5.67
- formation energy (no corrections) (eV/atom) = -1.2818